<i>
The following is a DFT calculation (PBE-GGA) of a relaxed structure of Be2GaAg2.

theoretical density = 7.3 Mg/m³

Lattice parameters (Å, degrees): 6.3410 6.3410 3.4403 90.00 90.00 90.00
Last column: nearest neighbours and their distance in Å.
Fractional positions:
Be (0.3685, 0.8685, 0.0000)  1 Be 2.36, 2 Ga 2.48, 6 Ag 2.53-2.54
Be (0.6315, 0.1315, 0.0000)  1 Be 2.36, 2 Ga 2.48, 6 Ag 2.53-2.54
Be (0.8685, 0.6315, 0.0000)  1 Be 2.36, 2 Ga 2.48, 6 Ag 2.53-2.54
Be (0.1315, 0.3685, 0.0000)  1 Be 2.36, 2 Ga 2.48, 6 Ag 2.53-2.54
Ag (0.3400, 0.1600, 0.5000)  6 Be 2.53-2.54
Ag (0.8400, 0.3400, 0.5000)  6 Be 2.53-2.54
Ag (0.6600, 0.8400, 0.5000)  6 Be 2.53-2.54
Ag (0.1600, 0.6600, 0.5000)  6 Be 2.53-2.54
Ga (0.5000, 0.5000, 0.0000)  4 Be 2.48
Ga (0.0000, 0.0000, 0.0000)  4 Be 2.48

=====

<ii>
The following is a DFT calculation (PBE-GGA) of a relaxed structure of Be2GaAg2.

theoretical density = 7.0 Mg/m³

Lattice parameters (Å, degrees): 3.0173 3.0173 8.1624 79.35 79.35 90.00
Last column: nearest neighbours and their distance in Å.
Fractional positions:
Be (0.7500, 0.2500, 0.5000)  4 Be 2.13
Be (0.2500, 0.7500, 0.5000)  4 Be 2.13
Ag (0.6243, 0.6243, 0.7515)  4 Be 2.49
Ag (0.3757, 0.3757, 0.2485)  4 Be 2.49
Ga (0.0000, 0.0000, 0.0000)  8 Ag 2.90, 4 Ga 3.02

=====

Energies relative to the minimum, eV/atom: <i> 0.000; <ii> 0.031

=====

<i>
The following is a DFT calculation (PBE-GGA) of a relaxed structure of BeGaAg2.

theoretical density = 8.1 Mg/m³

Lattice parameters (Å, degrees): 4.3998 4.3998 4.3998 60.00 60.00 60.00
Last column: nearest neighbours and their distance in Å.
Fractional positions:
Ag (0.7500, 0.7500, 0.7500)  4 Be 2.69, 4 Ga 2.69
Ag (0.2500, 0.2500, 0.2500)  4 Ga 2.69, 4 Be 2.69
Ga (0.5000, 0.5000, 0.5000)  8 Ag 2.69
Be (0.0000, 0.0000, 0.0000)  8 Ag 2.69

=====

<ii>
The following is a DFT calculation (PBE-GGA) of a relaxed structure of BeGaAg2.

theoretical density = 8.0 Mg/m³

Lattice parameters (Å, degrees): 2.9547 2.9547 6.9583 90.00 90.00 90.00
Last column: nearest neighbours and their distance in Å.
Fractional positions:
Ag (0.0000, 0.0000, 0.7881)  4 Be 2.56
Ag (0.0000, 0.0000, 0.2119)  4 Be 2.56
Be (0.5000, 0.5000, 0.0000)  8 Ag 2.56
Ga (0.5000, 0.5000, 0.5000)  8 Ag 2.90, 4 Ga 2.95

=====

<iii>
The following is a DFT calculation (PBE-GGA) of a relaxed structure of BeGaAg2.

theoretical density = 7.1 Mg/m³

Lattice parameters (Å, degrees): 3.9285 3.9285 9.3532 77.88 77.88 90.00
Last column: nearest neighbours and their distance in Å.
Fractional positions:
Ag (0.6146, 0.1250, 0.2500)  2 Be 2.61, 2 Ga 2.65, 4 Ag 2.72-2.84
Ag (0.8750, 0.8646, 0.7500)  2 Be 2.61, 2 Ga 2.65, 4 Ag 2.72-2.84
Ag (0.1354, 0.6250, 0.2500)  2 Be 2.61, 2 Ga 2.65, 4 Ag 2.72-2.84
Ag (0.3750, 0.3854, 0.7500)  2 Be 2.61, 2 Ga 2.65, 4 Ag 2.72-2.84
Be (0.2500, 0.7500, 0.5000)  4 Ag 2.61, 4 Ga 2.78
Be (0.5000, 0.5000, 0.0000)  4 Ag 2.61, 4 Ga 2.78
Ga (0.0000, 0.0000, 0.0000)  4 Ag 2.65, 4 Be 2.78
Ga (0.7500, 0.2500, 0.5000)  4 Ag 2.65, 4 Be 2.78

=====

Energies relative to the minimum, eV/atom: <i> 0.060; <ii> 0.000; <iii> 0.253

=====

<i>
The following is a DFT calculation (PBE-GGA) of a relaxed structure of BeGa3Ag.

theoretical density = 4.4 Mg/m³

Lattice parameters (Å, degrees): 4.9708 4.9708 4.9708 90.00 90.00 90.00
Last column: nearest neighbours and their distance in Å.
Fractional positions:
Ga (0.0000, 0.5000, 0.0000)  2 Ag 2.49
Ga (0.0000, 0.0000, 0.5000)  2 Ag 2.49
Ga (0.5000, 0.0000, 0.0000)  2 Ag 2.49
Ag (0.0000, 0.0000, 0.0000)  6 Ga 2.49
Be (0.5000, 0.5000, 0.5000)  12 Ga 3.51

=====

<ii>
The following is a DFT calculation (PBE-GGA) of a relaxed structure of BeGa3Ag.

theoretical density = 5.8 Mg/m³

Lattice parameters (Å, degrees): 4.5277 4.5277 4.5277 90.00 90.00 90.00
Last column: nearest neighbours and their distance in Å.
Fractional positions:
Ga (0.0000, 0.0000, 0.5000)  2 Be 2.26
Ga (0.5000, 0.0000, 0.0000)  2 Be 2.26
Ga (0.0000, 0.5000, 0.0000)  2 Be 2.26
Ag (0.5000, 0.5000, 0.5000)  12 Ga 3.20
Be (0.0000, 0.0000, 0.0000)  6 Ga 2.26

=====

Energies relative to the minimum, eV/atom: <i> 0.525; <ii> 0.000

=====

<i>
The following is a DFT calculation (PBE-GGA) of a relaxed structure of Be3GaAg.

theoretical density = 4.1 Mg/m³

Lattice parameters (Å, degrees): 4.3733 4.3733 4.3733 90.00 90.00 90.00
Last column: nearest neighbours and their distance in Å.
Fractional positions:
Be (0.0000, 0.5000, 0.0000)  2 Ag 2.19
Be (0.5000, 0.0000, 0.0000)  2 Ag 2.19
Be (0.0000, 0.0000, 0.5000)  2 Ag 2.19
Ga (0.5000, 0.5000, 0.5000)  12 Be 3.09
Ag (0.0000, 0.0000, 0.0000)  6 Be 2.19

=====

<ii>
The following is a DFT calculation (PBE-GGA) of a relaxed structure of Be3GaAg.

theoretical density = 4.5 Mg/m³

Lattice parameters (Å, degrees): 4.2207 4.2207 4.2207 90.00 90.00 90.00
Last column: nearest neighbours and their distance in Å.
Fractional positions:
Ga (0.0000, 0.0000, 0.0000)  6 Be 2.11
Be (0.0000, 0.5000, 0.0000)  2 Ga 2.11
Be (0.0000, 0.0000, 0.5000)  2 Ga 2.11
Be (0.5000, 0.0000, 0.0000)  2 Ga 2.11
Ag (0.5000, 0.5000, 0.5000)  12 Be 2.98

=====

Energies relative to the minimum, eV/atom: <i> 0.038; <ii> 0.000

=====

<i>
The following is a DFT calculation (PBE-GGA) of a relaxed structure of Gd2BeAg.

theoretical density = 7.9 Mg/m³

Lattice parameters (Å, degrees): 3.5383 3.5383 7.2114 90.00 90.00 90.00
Last column: nearest neighbours and their distance in Å.
Fractional positions:
Ag (0.5000, 0.5000, 0.5000)  8 Gd 3.18, 4 Ag 3.54
Be (0.5000, 0.5000, 0.0000)  8 Gd 2.99
Gd (0.0000, 0.0000, 0.7719)  4 Be 2.99, 4 Ag 3.18, 1 Gd 3.29
Gd (0.0000, 0.0000, 0.2281)  4 Be 2.99, 4 Ag 3.18, 1 Gd 3.29

=====

<ii>
The following is a DFT calculation (PBE-GGA) of a relaxed structure of Gd2BeAg.

theoretical density = 7.8 Mg/m³

Lattice parameters (Å, degrees): 5.0687 5.0687 5.0687 60.00 60.00 60.00
Last column: nearest neighbours and their distance in Å.
Fractional positions:
Gd (0.7500, 0.7500, 0.7500)  4 Be 3.10, 4 Ag 3.10
Gd (0.2500, 0.2500, 0.2500)  4 Be 3.10, 4 Ag 3.10
Ag (0.5000, 0.5000, 0.5000)  8 Gd 3.10
Be (0.0000, 0.0000, 0.0000)  8 Gd 3.10

=====

Energies relative to the minimum, eV/atom: <i> 0.000; <ii> 0.057

=====

<i>
The following is a DFT calculation (PBE-GGA) of a relaxed structure of Be2AgGe2.

theoretical density = 5.9 Mg/m³

Lattice parameters (Å, degrees): 3.8382 3.8382 5.8451 70.83 70.83 90.00
Last column: nearest neighbours and their distance in Å.
Fractional positions:
Ge (0.3799, 0.3799, 0.2401)  4 Be 2.34, 1 Ge 2.49
Ge (0.6201, 0.6201, 0.7599)  4 Be 2.34, 1 Ge 2.49
Be (0.7500, 0.2500, 0.5000)  4 Ge 2.34
Be (0.2500, 0.7500, 0.5000)  4 Ge 2.34
Ag (0.0000, 0.0000, 0.0000)  8 Ge 2.99, 8 Be 3.22

=====

<ii>
The following is a DFT calculation (PBE-GGA) of a relaxed structure of Be2AgGe2.

theoretical density = 6.2 Mg/m³

Lattice parameters (Å, degrees): 6.3844 6.3844 3.5761 90.00 90.00 90.00
Last column: nearest neighbours and their distance in Å.
Fractional positions:
Ag (0.5000, 0.5000, 0.0000)  4 Be 2.54
Ag (0.0000, 0.0000, 0.0000)  4 Be 2.54
Ge (0.1654, 0.6654, 0.5000)  6 Be 2.57-2.63
Ge (0.8346, 0.3346, 0.5000)  6 Be 2.57-2.63
Ge (0.6654, 0.8346, 0.5000)  6 Be 2.57-2.63
Ge (0.3346, 0.1654, 0.5000)  6 Be 2.57-2.63
Be (0.8788, 0.6212, 0.0000)  1 Be 2.19
Be (0.3788, 0.8788, 0.0000)  1 Be 2.19
Be (0.1212, 0.3788, 0.0000)  1 Be 2.19
Be (0.6212, 0.1212, 0.0000)  1 Be 2.19

=====

Energies relative to the minimum, eV/atom: <i> 0.000; <ii> 0.025

=====

<i>
The following is a DFT calculation (PBE-GGA) of a relaxed structure of BeAgGe2.

theoretical density = 6.4 Mg/m³

Lattice parameters (Å, degrees): 4.5793 4.5793 4.5793 60.00 60.00 60.00
Last column: nearest neighbours and their distance in Å.
Fractional positions:
Be (0.0000, 0.0000, 0.0000)  8 Ge 2.80
Ge (0.2500, 0.2500, 0.2500)  4 Be 2.80, 4 Ag 2.80
Ge (0.7500, 0.7500, 0.7500)  4 Ag 2.80, 4 Be 2.80
Ag (0.5000, 0.5000, 0.5000)  8 Ge 2.80

=====

<ii>
The following is a DFT calculation (PBE-GGA) of a relaxed structure of BeAgGe2.

theoretical density = 6.2 Mg/m³

Lattice parameters (Å, degrees): 4.1711 4.1711 8.5551 75.89 75.89 90.00
Last column: nearest neighbours and their distance in Å.
Fractional positions:
Ge (0.8750, 0.8276, 0.7500)  2 Be 2.41, 2 Ag 2.58, 2 Ge 2.68
Ge (0.5776, 0.1250, 0.2500)  2 Be 2.41, 2 Ag 2.58, 2 Ge 2.68
Ge (0.3750, 0.4224, 0.7500)  2 Be 2.41, 2 Ag 2.58, 2 Ge 2.68
Ge (0.1724, 0.6250, 0.2500)  2 Be 2.41, 2 Ag 2.58, 2 Ge 2.68
Be (0.5000, 0.5000, 0.0000)  4 Ge 2.41
Be (0.2500, 0.7500, 0.5000)  4 Ge 2.41
Ag (0.0000, 0.0000, 0.0000)  4 Ge 2.58
Ag (0.7500, 0.2500, 0.5000)  4 Ge 2.58

=====

Energies relative to the minimum, eV/atom: <i> 0.149; <ii> 0.000

=====

<i>
The following is a DFT calculation (PBE-GGA) of a relaxed structure of Be3AgGe.

theoretical density = 4.2 Mg/m³

Lattice parameters (Å, degrees): 4.3381 4.3381 4.3381 90.00 90.00 90.00
Last column: nearest neighbours and their distance in Å.
Fractional positions:
Be (0.0000, 0.5000, 0.0000)  2 Ag 2.17
Be (0.0000, 0.0000, 0.5000)  2 Ag 2.17
Be (0.5000, 0.0000, 0.0000)  2 Ag 2.17
Ag (0.0000, 0.0000, 0.0000)  6 Be 2.17
Ge (0.5000, 0.5000, 0.5000)  12 Be 3.07

=====

<ii>
The following is a DFT calculation (PBE-GGA) of a relaxed structure of Be3AgGe.

theoretical density = 4.4 Mg/m³

Lattice parameters (Å, degrees): 4.2686 4.2686 4.2686 90.00 90.00 90.00
Last column: nearest neighbours and their distance in Å.
Fractional positions:
Be (0.5000, 0.0000, 0.0000)  2 Ge 2.13
Be (0.0000, 0.0000, 0.5000)  2 Ge 2.13
Be (0.0000, 0.5000, 0.0000)  2 Ge 2.13
Ag (0.5000, 0.5000, 0.5000)  12 Be 3.02
Ge (0.0000, 0.0000, 0.0000)  6 Be 2.13

=====

Energies relative to the minimum, eV/atom: <i> 0.046; <ii> 0.000